# U2CuNiS5

A relaxed U2CuNiS5 crystal (GGA-PBE, the Alexandria database).

Lattice parameters (Å, degrees): 8.1627 8.1627 10.9998 90.00 90.00 153.57
Fractional positions:
U  0.1203  0.8797  0.5000
U  0.1257  0.8743  0.1091
U  0.8743  0.1257  0.6091
U  0.8797  0.1203  0.0000
Cu  0.4229  0.5771  0.2781
Cu  0.5771  0.4229  0.7781
Ni  0.2387  0.7613  0.8822
Ni  0.7613  0.2387  0.3822
S  0.0373  0.9627  0.8844
S  0.2943  0.7057  0.4701
S  0.3060  0.6940  0.1549
S  0.3639  0.6361  0.8080
S  0.4970  0.5030  0.0966
S  0.5030  0.4970  0.5966
S  0.6361  0.3639  0.3080
S  0.6940  0.3060  0.6549
S  0.7057  0.2943  0.9701
S  0.9627  0.0373  0.3844

## Properties
**Total energy**: -6.831 eV per atom
**Formation energy from raw total energies**: -0.9319 eV per atom


# AcPm6PrNd2

A relaxed AcPm6PrNd2 crystal (GGA-PBE, the Alexandria database).

Lattice parameters (Å, degrees): 9.1549 9.1549 9.9105 93.24 93.24 118.61
Fractional positions:
Ac  0.0246  0.9754  0.7500
Ac  0.9754  0.0246  0.2500
Pm  0.0243  0.5636  0.6837
Pm  0.1254  0.7452  0.0558
Pm  0.2548  0.8746  0.4442
Pm  0.2922  0.5012  0.8822
Pm  0.4364  0.9757  0.8163
Pm  0.4988  0.7078  0.6178
Pm  0.5012  0.2922  0.3822
Pm  0.5636  0.0243  0.1837
Pm  0.7078  0.4988  0.1178
Pm  0.7452  0.1254  0.5558
Pm  0.8746  0.2548  0.9442
Pm  0.9757  0.4364  0.3163
Pr  0.4078  0.5922  0.2500
Pr  0.5922  0.4078  0.7500
Nd  0.1918  0.3082  0.5445
Nd  0.3082  0.1918  0.0445
Nd  0.6918  0.8082  0.9555
Nd  0.8082  0.6918  0.4555

## Properties
**DFT formation energy**: 114 kJ/mol of formula units
**Total energy**: -4.575 eV per atom


# La2NdPb2

A relaxed La2NdPb2 crystal (GGA-PBE, the Alexandria database).

Lattice parameters (Å, degrees): 7.0896 7.0896 11.5403 114.27 114.27 41.21
Fractional positions:
La  0.0079  0.0079  0.1767
La  0.1822  0.1822  0.5887
La  0.8178  0.8178  0.4113
La  0.9921  0.9921  0.8233
Nd  0.2899  0.2899  0.1543
Nd  0.7101  0.7101  0.8457
Pb  0.3688  0.3688  0.9235
Pb  0.4579  0.4579  0.6101
Pb  0.5421  0.5421  0.3899
Pb  0.6312  0.6312  0.0765

## Properties
**DFT formation energy**: -227 kJ/mol of formula units
**Total energy**: -4.879 eV per atom


What is the total energy in the first record? -6.831 eV per atom